Entry 1:
# Hg2Pb2W

Hg2Pb2W after structural relaxation (GGA-PBE, Alexandria via LeMat-Bulk).

```
data_Hg2Pb2W
_symmetry_space_group_name_H-M 'P 1'
_symmetry_Int_Tables_number 1
_symmetry_space_group_name_Hall 'P 1'
_cell_length_a 8.090
_cell_length_b 8.090
_cell_length_c 8.090
_cell_angle_alpha 148.85
_cell_angle_beta 148.85
_cell_angle_gamma 44.64
loop_
_atom_site_label
_atom_site_fract_x
_atom_site_fract_y
_atom_site_fract_z
_atom_site_occupancy
Pb1 0.750 0.250 0.500 1
Hg1 0.409 0.409 0.000 1
Pb2 0.250 0.750 0.500 1
Hg2 0.591 0.591 0.000 1
W1 0.000 0.000 0.000 1
```

* calculated formation energy: 6.27 eV per formula unit
* total magnetization: 3.849 μB/cell


Entry 2:
# HgPbW2

HgPbW2 after structural relaxation (GGA-PBE, Alexandria via LeMat-Bulk).

```
data_HgPbW2
_symmetry_space_group_name_H-M 'P 1'
_symmetry_Int_Tables_number 1
_symmetry_space_group_name_Hall 'P 1'
_cell_length_a 5.001
_cell_length_b 3.309
_cell_length_c 5.238
_cell_angle_alpha 92.50
_cell_angle_beta 90.00
_cell_angle_gamma 90.00
loop_
_atom_site_label
_atom_site_fract_x
_atom_site_fract_y
_atom_site_fract_z
_atom_site_occupancy
W1 0.000 0.970 0.068 1
W2 0.000 0.530 0.432 1
Hg1 0.500 0.250 0.250 1
Pb1 0.500 0.750 0.750 1
```

* relative energy among the computed polymorphs: 364 meV per atom
* calculated formation energy: 3.86 eV per formula unit
* total magnetization: 0.000 μB/cell


Entry 3:
# HgPbW2

HgPbW2 after structural relaxation (GGA-PBE, Alexandria via LeMat-Bulk).

```
data_HgPbW2
_symmetry_space_group_name_H-M 'P 1'
_symmetry_Int_Tables_number 1
_symmetry_space_group_name_Hall 'P 1'
_cell_length_a 5.204
_cell_length_b 5.204
_cell_length_c 5.236
_cell_angle_alpha 81.73
_cell_angle_beta 81.73
_cell_angle_gamma 37.55
loop_
_atom_site_label
_atom_site_fract_x
_atom_site_fract_y
_atom_site_fract_z
_atom_site_occupancy
W1 0.006 0.006 0.925 1
Hg1 0.750 0.750 0.750 1
W2 0.494 0.494 0.575 1
Pb1 0.250 0.250 0.250 1
```

* relative energy among the computed polymorphs: 335 meV per atom
* calculated formation energy: 3.74 eV per formula unit
* total magnetization: 0.000 μB/cell


Entry 4:
# HgPbW2

HgPbW2 after structural relaxation (GGA-PBE, Alexandria via LeMat-Bulk).

```
data_HgPbW2
_symmetry_space_group_name_H-M 'P 1'
_symmetry_Int_Tables_number 1
_symmetry_space_group_name_Hall 'P 1'
_cell_length_a 5.195
_cell_length_b 5.195
_cell_length_c 5.394
_cell_angle_alpha 84.95
_cell_angle_beta 84.95
_cell_angle_gamma 32.78
loop_
_atom_site_label
_atom_site_fract_x
_atom_site_fract_y
_atom_site_fract_z
_atom_site_occupancy
Hg1 0.495 0.495 0.500 1
W1 0.000 0.000 0.969 1
Pb1 0.249 0.249 0.256 1
W2 0.756 0.756 0.775 1
```

* relative energy among the computed polymorphs: 456 meV per atom
* calculated formation energy: 4.23 eV per formula unit
* total magnetization: 0.000 μB/cell